Record 1
VASP calculation (PBE) on a relaxed Sr2Cd3InAg4 crystal.

Summary:
Space-group type: P-4m2
D(E_F) in states/eV per atom: 0.56

a b c (Å): 4.6739 4.6739 11.9069
angles (deg): 90.00 90.00 90.00
Last column: nearest neighbours and their distance in Å.
Fractional positions:
Sr1 0.0000 0.5000 0.2453  6 Cd 3.58-3.83, 8 Ag 3.58-3.74, 2 In 3.83
Sr2 0.5000 0.0000 0.7547  6 Cd 3.58-3.83, 8 Ag 3.58-3.74, 2 In 3.83
Cd1 0.0000 0.5000 0.8693  5 Ag 2.74-2.81
Cd2 0.5000 0.0000 0.1307  5 Ag 2.74-2.81
Cd3 0.5000 0.5000 0.5000  4 Ag 2.87
In1 0.0000 0.0000 0.5000  4 Ag 2.87
Ag1 0.0000 0.0000 0.0000  4 Cd 2.81
Ag2 0.0000 0.5000 0.6395  3 Cd 2.74-2.87, 2 In 2.87
Ag3 0.5000 0.0000 0.3605  3 Cd 2.74-2.87, 2 In 2.87
Ag4 0.5000 0.5000 0.0000  4 Cd 2.81

***

Record 2
VASP calculation (PBE) on a relaxed SrCdIn2Ag5 crystal.

Summary:
Space-group type: P4/mmm
D(E_F) in states/eV per atom: 0.32

a b c (Å): 5.1868 5.1868 8.2639
angles (deg): 90.00 90.00 90.00
Last column: nearest neighbours and their distance in Å.
Fractional positions:
Sr1 0.0000 0.0000 0.0000  8 Ag 3.18
Cd1 0.0000 0.0000 0.5000  8 Ag 3.46
In1 0.5000 0.5000 0.3351  1 In 2.72, 5 Ag 2.75-2.77
In2 0.5000 0.5000 0.6649  1 In 2.72, 5 Ag 2.75-2.77
Ag1 0.0000 0.5000 0.2229  2 In 2.75
Ag2 0.0000 0.5000 0.7771  2 In 2.75
Ag3 0.5000 0.0000 0.2229  2 In 2.75
Ag4 0.5000 0.0000 0.7771  2 In 2.75
Ag5 0.5000 0.5000 0.0000  2 In 2.77

***

Record 3
VASP calculation (PBE) on a relaxed Sr2CdIn3Ag4 crystal.

Summary:
Space-group type: P-4m2
D(E_F) in states/eV per atom: 0.49

a b c (Å): 4.5218 4.5218 12.6144
angles (deg): 90.00 90.00 90.00
Last column: nearest neighbours and their distance in Å.
Fractional positions:
Sr1 0.0000 0.5000 0.2498  8 Ag 3.47-3.88, 6 In 3.51-3.88, 2 Cd 3.88
Sr2 0.5000 0.0000 0.7502  8 Ag 3.47-3.88, 6 In 3.51-3.88, 2 Cd 3.88
Cd1 0.0000 0.0000 0.5000  4 Ag 2.90, 4 In 3.20
In1 0.0000 0.5000 0.8643  5 Ag 2.78-2.84
In2 0.5000 0.0000 0.1357  5 Ag 2.78-2.84
In3 0.5000 0.5000 0.5000  4 Ag 2.90, 4 Cd 3.20
Ag1 0.0000 0.0000 0.0000  4 In 2.84
Ag2 0.0000 0.5000 0.6440  3 In 2.78-2.90, 2 Cd 2.90
Ag3 0.5000 0.0000 0.3560  3 In 2.78-2.90, 2 Cd 2.90
Ag4 0.5000 0.5000 0.0000  4 In 2.84

***

Record 4
VASP calculation (PBE) on a relaxed SrCdIn2Ag crystal.

Summary:
Space-group type: Imm2
D(E_F) in states/eV per atom: 0.52

a b c (Å): 4.6446 4.6528 12.5249
angles (deg): 90.00 90.00 90.00
Last column: nearest neighbours and their distance in Å.
Fractional positions:
Sr1 0.0000 0.0000 0.0000  4 Ag 3.54, 6 In 3.58-3.77, 2 Cd 3.79
Sr2 0.5000 0.5000 0.5000  4 Ag 3.54, 6 In 3.58-3.77, 2 Cd 3.79
Cd1 0.0000 0.5000 0.7389  2 Ag 2.87, 2 In 2.97
Cd2 0.5000 0.0000 0.2389  2 Ag 2.87, 2 In 2.97
In1 0.0000 0.0000 0.3867  1 Ag 2.73, 2 Cd 2.97, 2 In 2.99
In2 0.0000 0.5000 0.2366  2 Ag 2.85, 2 In 2.99
In3 0.5000 0.0000 0.7366  2 Ag 2.85, 2 In 2.99
In4 0.5000 0.5000 0.8867  1 Ag 2.73, 2 Cd 2.97, 2 In 2.99
Ag1 0.0000 0.0000 0.6049  3 In 2.73-2.85, 2 Cd 2.87
Ag2 0.5000 0.5000 0.1049  3 In 2.73-2.85, 2 Cd 2.87

***

Record 5
VASP calculation (PBE) on a relaxed Sr2Cd3InAg12 crystal.

Summary:
Space-group type: R-3m
D(E_F) in states/eV per atom: 0.31

a b c (Å): 7.4057 7.4057 7.4057
angles (deg): 84.21 84.21 84.21
Last column: nearest neighbours and their distance in Å.
Fractional positions:
Sr1 0.2086 0.2086 0.2086  9 Ag 3.19-3.30, 3 Cd 3.36
Sr2 0.7914 0.7914 0.7914  9 Ag 3.19-3.30, 3 Cd 3.36
Cd1 0.0000 0.5000 0.5000  6 Ag 2.89-3.19
Cd2 0.5000 0.0000 0.5000  6 Ag 2.89-3.19
Cd3 0.5000 0.5000 0.0000  6 Ag 2.89-3.19
In1 0.5000 0.5000 0.5000  6 Ag 2.81
Ag1 0.0810 0.0810 0.6389  4 Ag 2.77-2.92
Ag2 0.0810 0.6389 0.0810  4 Ag 2.77-2.92
Ag3 0.2186 0.6987 0.6987  5 Ag 2.77-2.96, 1 In 2.81, 1 Cd 2.89
Ag4 0.3013 0.3013 0.7814  5 Ag 2.77-2.96, 1 In 2.81, 1 Cd 2.89
Ag5 0.3013 0.7814 0.3013  5 Ag 2.77-2.96, 1 In 2.81, 1 Cd 2.89
Ag6 0.3611 0.9190 0.9190  4 Ag 2.77-2.92
Ag7 0.6389 0.0810 0.0810  4 Ag 2.77-2.92
Ag8 0.6987 0.2186 0.6987  5 Ag 2.77-2.96, 1 In 2.81, 1 Cd 2.89
Ag9 0.6987 0.6987 0.2186  5 Ag 2.77-2.96, 1 In 2.81, 1 Cd 2.89
Ag10 0.7814 0.3013 0.3013  5 Ag 2.77-2.96, 1 In 2.81, 1 Cd 2.89
Ag11 0.9190 0.3611 0.9190  4 Ag 2.77-2.92
Ag12 0.9190 0.9190 0.3611  4 Ag 2.77-2.92

***

Record 6
VASP calculation (PBE) on a relaxed Tb4Cd2InAg crystal.

Summary:
Space-group type: R-3m
D(E_F) in states/eV per atom: 0.96

a b c (Å): 9.1671 9.1671 9.1671
angles (deg): 33.48 33.48 33.48
Last column: nearest neighbours and their distance in Å.
Fractional positions:
Tb1 0.1226 0.1226 0.1226  1 Ag 3.18, 4 Cd 3.20-3.26, 3 In 3.26
Tb2 0.3729 0.3729 0.3729  3 Ag 3.22, 4 Cd 3.23-3.27, 1 In 3.30
Tb3 0.6271 0.6271 0.6271  3 Ag 3.22, 4 Cd 3.23-3.27, 1 In 3.30
Tb4 0.8774 0.8774 0.8774  1 Ag 3.18, 4 Cd 3.20-3.26, 3 In 3.26
Cd1 0.2485 0.2485 0.2485  8 Tb 3.20-3.27
Cd2 0.7515 0.7515 0.7515  8 Tb 3.20-3.27
In1 0.5000 0.5000 0.5000  8 Tb 3.26-3.30
Ag1 0.0000 0.0000 0.0000  8 Tb 3.18-3.22

***

Record 7
VASP calculation (PBE) on a relaxed Tb4CdIn2Ag crystal.

Summary:
Space-group type: R-3m
D(E_F) in states/eV per atom: 1.02

a b c (Å): 9.1805 9.1805 9.1805
angles (deg): 33.54 33.54 33.54
Last column: nearest neighbours and their distance in Å.
Fractional positions:
Tb1 0.1228 0.1228 0.1228  1 Ag 3.19, 4 In 3.22-3.27, 3 Cd 3.26
Tb2 0.3730 0.3730 0.3730  3 Ag 3.23, 4 In 3.23-3.27, 1 Cd 3.30
Tb3 0.6270 0.6270 0.6270  3 Ag 3.23, 4 In 3.23-3.27, 1 Cd 3.30
Tb4 0.8772 0.8772 0.8772  1 Ag 3.19, 4 In 3.22-3.27, 3 Cd 3.26
Cd1 0.5000 0.5000 0.5000  8 Tb 3.26-3.30
In1 0.2487 0.2487 0.2487  8 Tb 3.22-3.27
In2 0.7513 0.7513 0.7513  8 Tb 3.22-3.27
Ag1 0.0000 0.0000 0.0000  8 Tb 3.19-3.23

***

Record 8
VASP calculation (PBE) on a relaxed Tb3Cd4In2Ag2 crystal.

Summary:
Space-group type: I4/mmm
D(E_F) in states/eV per atom: 0.70

a b c (Å): 15.0595 15.0595 15.0595
angles (deg): 163.56 163.56 23.32
Last column: nearest neighbours and their distance in Å.
Fractional positions:
Tb1 0.0000 0.0000 0.0000  8 In 3.35
Tb2 0.2080 0.2080 0.0000  5 Ag 3.08-3.10, 4 Cd 3.44
Tb3 0.7920 0.7920 0.0000  5 Ag 3.08-3.10, 4 Cd 3.44
Cd1 0.1170 0.6170 0.5000  2 In 2.98, 2 Ag 2.99, 4 Cd 3.04
Cd2 0.3830 0.8830 0.5000  2 In 2.98, 2 Ag 2.99, 4 Cd 3.04
Cd3 0.6170 0.1170 0.5000  2 In 2.98, 2 Ag 2.99, 4 Cd 3.04
Cd4 0.8830 0.3830 0.5000  2 In 2.98, 2 Ag 2.99, 4 Cd 3.04
In1 0.4529 0.4529 0.0000  1 In 2.78, 4 Cd 2.98
In2 0.5471 0.5471 0.0000  1 In 2.78, 4 Cd 2.98
Ag1 0.3124 0.3124 0.0000  4 Cd 2.99, 5 Tb 3.08-3.10
Ag2 0.6876 0.6876 0.0000  4 Cd 2.99, 5 Tb 3.08-3.10

***

Number 1: ΔH_f (0 K) -0.2191 eV per atom. Number 2: ΔH_f (0 K) 0.0543 eV per atom. Number 3: ΔH_f (0 K) -0.2585 eV per atom. Number 4: ΔH_f (0 K) -0.2899 eV per atom. Number 5: ΔH_f (0 K) -0.0037 eV per atom. Number 6: ΔH_f (0 K) -0.3527 eV per atom. Number 7: ΔH_f (0 K) -0.4043 eV per atom. Number 8: ΔH_f (0 K) -0.2019 eV per atom.